1.
First-principles (PBE-GGA) data for a relaxed Tm3GaBi crystal, as listed in the Alexandria database.

Lattice parameters (Å, degrees): 9.1815 9.1815 6.7315 97.12 97.12 93.06
Element x y z (fractional)
Tm 0.0604 0.7522 0.9480
Tm 0.1755 0.5609 0.3622
Tm 0.2478 0.9396 0.5520
Tm 0.2542 0.4030 0.9041
Tm 0.4030 0.2542 0.4041
Tm 0.4391 0.8245 0.1378
Tm 0.5609 0.1755 0.8622
Tm 0.5970 0.7458 0.5959
Tm 0.7458 0.5970 0.0959
Tm 0.7522 0.0604 0.4480
Tm 0.8245 0.4391 0.6378
Tm 0.9396 0.2478 0.0520
Ga 0.3213 0.6787 0.7500
Ga 0.4776 0.5224 0.2500
Ga 0.5224 0.4776 0.7500
Ga 0.6787 0.3213 0.2500
Bi 0.0693 0.2352 0.5127
Bi 0.2352 0.0693 0.0127
Bi 0.7648 0.9307 0.9873
Bi 0.9307 0.7648 0.4873

Summary:
Space-group type: C2/c
Total DFT energy (no corrections): -89.98 eV per cell
Size of the total moment: 0.00 Bohr magnetons per cell
Formation energy: -435 meV/atom

2.
First-principles (PBE-GGA) data for a relaxed TaPRh2 crystal, as listed in the Alexandria database.

Lattice parameters (Å, degrees): 3.8462 3.8462 7.8806 90.00 90.00 90.00
Element x y z (fractional)
Ta 0.0000 0.0000 0.0000
Ta 0.5000 0.5000 0.5000
P 0.0000 0.5000 0.7500
P 0.5000 0.0000 0.2500
Rh 0.0000 0.0000 0.5000
Rh 0.0000 0.5000 0.2500
Rh 0.5000 0.0000 0.7500
Rh 0.5000 0.5000 0.0000

Summary:
Space-group type: I-4m2
Total DFT energy (no corrections): -66.78 eV per cell
Size of the total moment: 0.00 Bohr magnetons per cell
Formation energy: -356 meV/atom

3.
First-principles (PBE-GGA) data for a relaxed Ca2PmHg8 crystal, as listed in the Alexandria database.

Lattice parameters (Å, degrees): 8.5066 8.5066 8.5066 144.54 124.86 67.29
Element x y z (fractional)
Ca 0.2089 0.2089 0.0000
Ca 0.7911 0.7911 0.0000
Pm 0.5000 0.5000 0.0000
Hg 0.0553 0.3611 0.6942
Hg 0.1960 0.0000 0.1960
Hg 0.3331 0.6389 0.6942
Hg 0.3482 0.8482 0.5000
Hg 0.6518 0.1518 0.5000
Hg 0.6669 0.3611 0.3058
Hg 0.8040 0.0000 0.8040
Hg 0.9447 0.6389 0.3058

Summary:
Space-group type: Immm
Total DFT energy (no corrections): -15.05 eV per cell
Size of the total moment: 0.00 Bohr magnetons per cell
Formation energy: -353 meV/atom

4.
First-principles (PBE-GGA) data for a relaxed BiIr2O8 crystal, as listed in the Alexandria database.

Lattice parameters (Å, degrees): 6.1215 6.1215 6.5544 90.00 90.00 120.00
Element x y z (fractional)
Bi 0.0000 0.0000 0.0000
Ir 0.3333 0.6667 0.3152
Ir 0.6667 0.3333 0.6848
O 0.1739 0.3479 0.2108
O 0.1739 0.8261 0.2108
O 0.3333 0.6667 0.5828
O 0.3479 0.1739 0.7892
O 0.6521 0.8261 0.2108
O 0.6667 0.3333 0.4172
O 0.8261 0.1739 0.7892
O 0.8261 0.6521 0.7892

Summary:
Space-group type: P-3m1
Total DFT energy (no corrections): -65.84 eV per cell
Raw formation energy: -416 meV/atom
Size of the total moment: 2.98 Bohr magnetons per cell

5.
First-principles (PBE-GGA) data for a relaxed B2C3 crystal, as listed in the Alexandria database.

Lattice parameters (Å, degrees): 4.4994 4.4994 6.4842 110.95 110.95 32.06
Element x y z (fractional)
B 0.1225 0.1225 0.0002
B 0.2676 0.2676 0.8018
B 0.7324 0.7324 0.1982
B 0.8775 0.8775 0.9998
C 0.0627 0.0627 0.7446
C 0.2917 0.2917 0.5663
C 0.4844 0.4844 0.6127
C 0.5156 0.5156 0.3873
C 0.7083 0.7083 0.4337
C 0.9373 0.9373 0.2554

Summary:
Space-group type: C2/m
Total DFT energy (no corrections): -78.88 eV per cell
Energy relative to the lowest polymorph listed for this composition: 0.41 eV/f.u.
Size of the total moment: 0.00 Bohr magnetons per cell
Formation energy: 317 meV/atom

6.
First-principles (PBE-GGA) data for a relaxed AcNdZnSb crystal, as listed in the Alexandria database.

Lattice parameters (Å, degrees): 7.8097 7.8097 7.8097 90.00 90.00 90.00
Element x y z (fractional)
Ac 0.0000 0.0000 0.0000
Ac 0.0000 0.5000 0.5000
Ac 0.5000 0.0000 0.5000
Ac 0.5000 0.5000 0.0000
Nd 0.0000 0.0000 0.5000
Nd 0.0000 0.5000 0.0000
Nd 0.5000 0.0000 0.0000
Nd 0.5000 0.5000 0.5000
Zn 0.2500 0.2500 0.7500
Zn 0.2500 0.7500 0.2500
Zn 0.7500 0.2500 0.2500
Zn 0.7500 0.7500 0.7500
Sb 0.2500 0.2500 0.2500
Sb 0.2500 0.7500 0.7500
Sb 0.7500 0.2500 0.7500
Sb 0.7500 0.7500 0.2500

Summary:
Space-group type: F-43m
Total DFT energy (no corrections): -65.67 eV per cell
Raw formation energy: -536 meV/atom
Size of the total moment: 0.00 Bohr magnetons per cell

7.
First-principles (PBE-GGA) data for a relaxed Tb2Ga2Si crystal, as listed in the Alexandria database.

Lattice parameters (Å, degrees): 5.8316 5.8316 10.3420 112.72 112.72 41.82
Element x y z (fractional)
Tb 0.0144 0.0144 0.1752
Tb 0.1867 0.1867 0.6111
Tb 0.8133 0.8133 0.3889
Tb 0.9856 0.9856 0.8248
Ga 0.3400 0.3400 0.9400
Ga 0.4627 0.4627 0.6055
Ga 0.5373 0.5373 0.3945
Ga 0.6600 0.6600 0.0600
Si 0.3050 0.3050 0.1804
Si 0.6950 0.6950 0.8196

Summary:
Space-group type: C2/m
Total DFT energy (no corrections): -47.73 eV per cell
Energy relative to the lowest polymorph listed for this composition: 0.19 eV/f.u.
Raw formation energy: -625 meV/atom
Size of the total moment: 0.00 Bohr magnetons per cell

8.
First-principles (PBE-GGA) data for a relaxed NaZrMo3 crystal, as listed in the Alexandria database.

Lattice parameters (Å, degrees): 4.9027 4.9027 4.9027 90.00 90.00 90.00
Element x y z (fractional)
Na 0.0000 0.0000 0.0000
Zr 0.5000 0.5000 0.5000
Mo 0.0000 0.5000 0.5000
Mo 0.5000 0.0000 0.5000
Mo 0.5000 0.5000 0.0000

Summary:
Space-group type: Pm-3m
Total DFT energy (no corrections): -32.38 eV per cell
Energy relative to the lowest polymorph listed for this composition: 0.00 eV/f.u.
Size of the total moment: 0.00 Bohr magnetons per cell
Formation energy: 1995 meV/atom

9.
First-principles (PBE-GGA) data for a relaxed LaNdTmZn crystal, as listed in the Alexandria database.

Lattice parameters (Å, degrees): 7.7355 7.7355 7.7355 90.00 90.00 90.00
Element x y z (fractional)
La 0.0000 0.0000 0.0000
La 0.0000 0.5000 0.5000
La 0.5000 0.0000 0.5000
La 0.5000 0.5000 0.0000
Nd 0.0000 0.0000 0.5000
Nd 0.0000 0.5000 0.0000
Nd 0.5000 0.0000 0.0000
Nd 0.5000 0.5000 0.5000
Tm 0.2500 0.2500 0.7500
Tm 0.2500 0.7500 0.2500
Tm 0.7500 0.2500 0.2500
Tm 0.7500 0.7500 0.7500
Zn 0.2500 0.2500 0.2500
Zn 0.2500 0.7500 0.7500
Zn 0.7500 0.2500 0.7500
Zn 0.7500 0.7500 0.2500

Summary:
Space-group type: F-43m
Total DFT energy (no corrections): -61.74 eV per cell
Energy relative to the lowest polymorph listed for this composition: 0.60 eV/f.u.
Size of the total moment: 0.00 Bohr magnetons per cell
Formation energy: 1 meV/atom

10.
First-principles (PBE-GGA) data for a relaxed DyIrO5 crystal, as listed in the Alexandria database.

Lattice parameters (Å, degrees): 5.1996 5.1996 6.9093 96.60 96.60 108.95
Element x y z (fractional)
Dy 0.1104 0.8896 0.7500
Dy 0.8896 0.1104 0.2500
Ir 0.5000 0.5000 0.0000
Ir 0.5000 0.5000 0.5000
O 0.1285 0.2580 0.9919
O 0.1927 0.5641 0.3756
O 0.2580 0.1285 0.4919
O 0.3886 0.6114 0.7500
O 0.4359 0.8073 0.1244
O 0.5641 0.1927 0.8756
O 0.6114 0.3886 0.2500
O 0.7420 0.8715 0.5081
O 0.8073 0.4359 0.6244
O 0.8715 0.7420 0.0081

Summary:
Space-group type: C2/c
Total DFT energy (no corrections): -97.37 eV per cell
Raw formation energy: -1490 meV/atom
Size of the total moment: 2.99 Bohr magnetons per cell

11.
First-principles (PBE-GGA) data for a relaxed Sr12Rh3Cl5 crystal, as listed in the Alexandria database.

Lattice parameters (Å, degrees): 15.6576 15.6576 15.6576 109.47 109.47 109.47
Element x y z (fractional)
Sr 0.0518 0.2274 0.1359
Sr 0.0518 0.3244 0.9159
Sr 0.0841 0.6359 0.4085
Sr 0.0841 0.9482 0.6756
Sr 0.0915 0.7274 0.6756
Sr 0.0915 0.8641 0.4159
Sr 0.1359 0.0518 0.2274
Sr 0.1359 0.5841 0.9085
Sr 0.1756 0.2274 0.5915
Sr 0.1756 0.4482 0.5841
Sr 0.2274 0.1359 0.0518
Sr 0.2274 0.5915 0.1756
Sr 0.2726 0.3244 0.9085
Sr 0.2726 0.4482 0.3641
Sr 0.3244 0.9085 0.2726
Sr 0.3244 0.9159 0.0518
Sr 0.3641 0.2726 0.4482
Sr 0.3641 0.5915 0.9159
Sr 0.4085 0.0841 0.6359
Sr 0.4085 0.8244 0.7726
Sr 0.4159 0.0915 0.8641
Sr 0.4159 0.8244 0.5518
Sr 0.4482 0.3641 0.2726
Sr 0.4482 0.5841 0.1756
Sr 0.5518 0.4159 0.8244
Sr 0.5518 0.6359 0.7274
Sr 0.5841 0.1756 0.4482
Sr 0.5841 0.9085 0.1359
Sr 0.5915 0.1756 0.2274
Sr 0.5915 0.9159 0.3641
Sr 0.6359 0.4085 0.0841
Sr 0.6359 0.7274 0.5518
Sr 0.6756 0.0841 0.9482
Sr 0.6756 0.0915 0.7274
Sr 0.7274 0.5518 0.6359
Sr 0.7274 0.6756 0.0915
Sr 0.7726 0.4085 0.8244
Sr 0.7726 0.8641 0.9482
Sr 0.8244 0.5518 0.4159
Sr 0.8244 0.7726 0.4085
Sr 0.8641 0.4159 0.0915
Sr 0.8641 0.9482 0.7726
Sr 0.9085 0.1359 0.5841
Sr 0.9085 0.2726 0.3244
Sr 0.9159 0.0518 0.3244
Sr 0.9159 0.3641 0.5915
Sr 0.9482 0.6756 0.0841
Sr 0.9482 0.7726 0.8641
Rh 0.1250 0.2500 0.3750
Rh 0.1250 0.3750 0.7500
Rh 0.2500 0.3750 0.1250
Rh 0.2500 0.8750 0.6250
Rh 0.3750 0.1250 0.2500
Rh 0.3750 0.7500 0.1250
Rh 0.6250 0.2500 0.8750
Rh 0.6250 0.8750 0.7500
Rh 0.7500 0.1250 0.3750
Rh 0.7500 0.6250 0.8750
Rh 0.8750 0.6250 0.2500
Rh 0.8750 0.7500 0.6250
Cl 0.0000 0.0000 0.0000
Cl 0.0000 0.0000 0.5000
Cl 0.0000 0.5000 0.0000
Cl 0.0000 0.5000 0.5000
Cl 0.1250 0.7500 0.8750
Cl 0.1250 0.8750 0.2500
Cl 0.2500 0.1250 0.8750
Cl 0.2500 0.6250 0.3750
Cl 0.3750 0.2500 0.6250
Cl 0.3750 0.6250 0.7500
Cl 0.5000 0.0000 0.0000
Cl 0.5000 0.0000 0.5000
Cl 0.5000 0.5000 0.0000
Cl 0.5000 0.5000 0.5000
Cl 0.6250 0.3750 0.2500
Cl 0.6250 0.7500 0.3750
Cl 0.7500 0.3750 0.6250
Cl 0.7500 0.8750 0.1250
Cl 0.8750 0.1250 0.7500
Cl 0.8750 0.2500 0.1250

Summary:
Space-group type: Ia-3d
Total DFT energy (no corrections): -271.94 eV per cell
Raw formation energy: -826 meV/atom
Size of the total moment: 0.00 Bohr magnetons per cell

12.
First-principles (PBE-GGA) data for a relaxed SmTm3Ru crystal, as listed in the Alexandria database.

Lattice parameters (Å, degrees): 5.3302 5.3302 5.3302 90.00 90.00 90.00
Element x y z (fractional)
Sm 0.0000 0.0000 0.0000
Tm 0.0000 0.5000 0.5000
Tm 0.5000 0.0000 0.5000
Tm 0.5000 0.5000 0.0000
Ru 0.5000 0.5000 0.5000

Summary:
Space-group type: Pm-3m
Total DFT energy (no corrections): -27.98 eV per cell
Energy relative to the lowest polymorph listed for this composition: 0.49 eV/f.u.
Size of the total moment: 0.00 Bohr magnetons per cell
Formation energy: -113 meV/atom